(1)
DFT (PBE) results for a geometry-optimized TlAgSnF6 structure.

Cell lengths 6.140, 10.753, 5.488 Å; angles 90.00, 90.42, 90.00 degrees
Space group C2 (No. 5)
Symmetry-distinct sites (fractional):
Tl 0.000 0.000 0.000
Ag 0.000 0.335 0.500
Sn 0.000 0.667 0.500
F 0.129 0.531 0.295
F 0.143 0.799 0.296
F 0.230 0.172 0.291

Computed properties:
E_form (uncorrected)   -2077 meV per atom

---

(2)
DFT (PBE) results for a geometry-optimized KSbOs2 structure.

Cell lengths 2.881, 5.658, 10.851 Å; angles 90.00, 90.00, 90.00 degrees
Space group Imm2 (No. 44)
Symmetry-distinct sites (fractional):
K 0.000 0.000 0.000
Sb 0.000 0.500 0.211
Os 0.000 0.000 0.493
Os 0.000 0.500 0.807

Computed properties:
E_form (uncorrected)   987 meV per atom

---

(3)
DFT (PBE) results for a geometry-optimized LaCdGa2Ni structure.

Cell lengths 4.751, 4.751, 5.087 Å; angles 90.00, 90.00, 90.00 degrees
Space group P4/mmm (No. 123)
Symmetry-distinct sites (fractional):
La 0.000 0.000 0.000
Cd 0.500 0.500 0.000
Ga 0.000 0.500 0.500
Ni 0.000 0.000 0.500

Computed properties:
Formation enthalpy at 0 K   -0.290 eV per atom
E above lowest polymorph   59 meV/atom

---

(4)
DFT (PBE) results for a geometry-optimized TaTe3Ru structure.

Cell lengths 5.372, 5.372, 5.372 Å; angles 90.00, 90.00, 90.00 degrees
Space group Pm-3m (No. 221)
Symmetry-distinct sites (fractional):
Ta 0.000 0.000 0.000
Te 0.000 0.000 0.500
Ru 0.500 0.500 0.500

Computed properties:
E_form (uncorrected)   1073 meV per atom
E above lowest polymorph   0 meV/atom